VASP calculation (GGA-PBE) on crystalline Cd3SbW at its relaxed geometry.

Properties
SG: Pm-3m, No. 221
offset from the most stable computed form: 0.3147 eV per atom
formation energy without anion corrections: 1.58 eV/atom
size of the total moment: 4.42 μB/cell

Cell lengths 5.5319, 5.5319, 5.5319 Å; angles 90.00, 90.00, 90.00 degrees
Closest atoms and distances in Å follow each position.
Atoms (fractional coordinates):
Sb (0.0000, 0.0000, 0.0000)  6 Cd 2.77
Cd (0.0000, 0.5000, 0.0000)  2 Sb 2.77
Cd (0.5000, 0.0000, 0.0000)  2 Sb 2.77
W (0.5000, 0.5000, 0.5000)  12 Cd 3.91
Cd (0.0000, 0.0000, 0.5000)  2 Sb 2.77